TaMn2Pt: optimized geometry, GGA-PBE.

Summary:
Its formation energy is 0.28 eV per atom. The symmetry is I-42d (122). The value obtained for the electronic total energy is -8.777 eV per atom. The calculation puts the relative energy among the computed polymorphs at 576 meV/atom.

Geometry as POSCAR:
```
TaMn2Pt
1.0
-1.889 1.889 9.211
1.889 -1.889 9.211
1.889 1.889 -9.211
Ta Mn Pt
2 4 2
Direct
0.000 0.000 0.000 Ta
0.750 0.250 0.500 Ta
0.126 0.625 0.001 Mn
0.375 0.376 0.501 Mn
0.624 0.125 0.999 Mn
0.875 0.874 0.499 Mn
0.250 0.750 0.500 Pt
0.500 0.500 0.000 Pt
```